(1)
Compound: RbNp2AgO8
Source: Alexandria via LeMat-Bulk
Functional: PBE-GGA
Structure: optimized geometry

a b c (Å): 6.043 6.043 6.885
angles (deg): 90.00 90.00 120.00
Atoms (fractional coordinates):
Rb 0.000 0.000 0.000
Np 0.333 0.667 0.444
Np 0.667 0.333 0.556
Ag 0.000 0.000 0.500
O 0.066 0.394 0.628
O 0.328 0.934 0.628
O 0.333 0.667 0.175
O 0.394 0.328 0.372
O 0.606 0.672 0.628
O 0.667 0.333 0.825
O 0.672 0.066 0.372
O 0.934 0.606 0.372

## Properties
As for the uncorrected formation energy: -1.982 eV per atom.

(2)
Compound: Rb2PmGaSe4
Source: Alexandria via LeMat-Bulk
Functional: PBE-GGA
Structure: optimized geometry

a b c (Å): 8.791 8.791 8.691
angles (deg): 118.07 118.07 92.31
Atoms (fractional coordinates):
Rb 0.000 0.000 0.000
Rb 0.000 0.000 0.500
Rb 0.000 0.500 0.000
Rb 0.500 0.000 0.500
Pm 0.000 0.500 0.500
Pm 0.500 0.000 0.000
Ga 0.500 0.500 0.000
Ga 0.500 0.500 0.500
Se 0.262 0.726 0.964
Se 0.274 0.738 0.536
Se 0.292 0.314 0.519
Se 0.314 0.292 0.019
Se 0.686 0.708 0.981
Se 0.708 0.686 0.481
Se 0.726 0.262 0.464
Se 0.738 0.274 0.036

## Properties
As for the uncorrected formation energy: -1.099 eV per atom.